[1]
Crystalline CsNa3V at its relaxed geometry. Source: Alexandria via LeMat-Bulk, functional PBE.

abc: 6.3374 6.3374 6.3374
angles: 90.00 90.00 90.00
Closest atoms and distances in Å follow each position.
Space group Pm-3m (No. 221)
Asymmetric unit:
1 Cs 0.0000 0.0000 0.0000 x1  6 Na 3.17
2 Na 0.0000 0.0000 0.5000 x3  2 Cs 3.17
3 V 0.5000 0.5000 0.5000 x1  12 Na 4.48

Results
As for the crystal system: cubic.

[2]
Crystalline CsNaV2 at its relaxed geometry. Source: Alexandria via LeMat-Bulk, functional PBE.

abc: 8.0898 8.0898 8.0898
angles: 90.00 90.00 90.00
Closest atoms and distances in Å follow each position.
Space group Fm-3m (No. 225)
Asymmetric unit:
1 Cs 0.0000 0.0000 0.0000 x4  8 V 3.50
2 Na 0.0000 0.0000 0.5000 x4  8 V 3.50
3 V 0.2500 0.2500 0.2500 x8  4 Cs 3.50, 4 Na 3.50

Results
As for the crystal system: cubic.

[3]
Crystalline CsNa3V at its relaxed geometry. Source: Alexandria via LeMat-Bulk, functional PBE.

abc: 6.1825 6.1825 6.1825
angles: 90.00 90.00 90.00
Closest atoms and distances in Å follow each position.
Space group Pm-3m (No. 221)
Asymmetric unit:
1 Cs 0.0000 0.0000 0.0000 x1  12 Na 4.37
2 Na 0.0000 0.5000 0.5000 x3  2 V 3.09
3 V 0.5000 0.5000 0.5000 x1  6 Na 3.09

Results
As for the crystal system: cubic.

[4]
Crystalline Cs2NaV at its relaxed geometry. Source: Alexandria via LeMat-Bulk, functional PBE.

abc: 9.6094 9.6094 9.6094
angles: 90.00 90.00 90.00
Closest atoms and distances in Å follow each position.
Space group Fm-3m (No. 225)
Asymmetric unit:
1 Cs 0.2500 0.2500 0.2500 x8  4 Na 4.16, 4 V 4.16
2 Na 0.0000 0.0000 0.0000 x4  8 Cs 4.16
3 V 0.0000 0.0000 0.5000 x4  8 Cs 4.16

Results
As for the crystal system: cubic.

[5]
Crystalline CsNa2V at its relaxed geometry. Source: Alexandria via LeMat-Bulk, functional PBE.

abc: 8.0721 8.0721 8.0721
angles: 90.00 90.00 90.00
Closest atoms and distances in Å follow each position.
Space group Fm-3m (No. 225)
Asymmetric unit:
1 Cs 0.0000 0.0000 0.0000 x4  8 Na 3.50
2 Na 0.2500 0.2500 0.2500 x8  4 Cs 3.50, 4 V 3.50
3 V 0.0000 0.0000 0.5000 x4  8 Na 3.50

Results
As for the crystal system: cubic.

[6]
Crystalline CsNaV2 at its relaxed geometry. Source: Alexandria via LeMat-Bulk, functional PBE.

abc: 4.2262 4.2262 24.5008
angles: 90.00 90.00 90.00
Closest atoms and distances in Å follow each position.
Space group I-42d (No. 122)
Asymmetric unit:
1 Cs 0.0000 0.0000 0.0000 x4  4 Na 2.99
2 Na 0.0000 0.0000 0.5000 x4  4 Cs 2.99, 4 V 3.27
3 V 0.1000 0.2500 0.6250 x8  2 V 2.28

Results
As for the crystal system: tetragonal.

[7]
Crystalline CsNaY2V at its relaxed geometry. Source: Alexandria via LeMat-Bulk, functional PBE.

abc: 5.3670 5.3670 6.6002
angles: 90.00 90.00 90.00
Closest atoms and distances in Å follow each position.
Space group P4/mmm (No. 123)
Asymmetric unit:
1 Cs 0.0000 0.0000 0.0000 x1  2 V 3.30
2 Na 0.5000 0.5000 0.0000 x1  4 Cs 3.80
3 Y 0.0000 0.5000 0.5000 x2  2 V 2.68
4 V 0.0000 0.0000 0.5000 x1  4 Y 2.68

Results
As for the crystal system: tetragonal.

[8]
Crystalline CsNaW3 at its relaxed geometry. Source: Alexandria via LeMat-Bulk, functional PBE.

abc: 5.0229 5.0229 5.0229
angles: 90.00 90.00 90.00
Closest atoms and distances in Å follow each position.
Space group Pm-3m (No. 221)
Asymmetric unit:
1 Cs 0.0000 0.0000 0.0000 x1  6 W 2.51
2 Na 0.5000 0.5000 0.5000 x1  12 W 3.55
3 W 0.0000 0.0000 0.5000 x3  2 Cs 2.51

Results
As for the crystal system: cubic.

no.,DFT total energy (eV/atom),calculated formation energy (meV per atom)
1,-1.465,1321
2,-3.395,1707
3,-2.074,711
4,-2.116,920
5,-2.209,943
6,-3.494,1608
7,-3.996,848
8,-4.418,3788